Entry 1:
Entry from Alexandria via LeMat-Bulk: Ca2PAu after structural relaxation (PBE).

Summary:
The volume comes out at 24.0 A^3/atom. The total DFT energy (no corrections) is -4.1384 eV per atom. The value obtained for the formation energy is -0.9658 eV/atom. Its space group is No. 11.

Lattice parameters (Å, degrees): 4.4358 5.8864 7.8223 110.02 90.00 90.00
Element x y z (fractional)
Au: 0.7500 0.6793 0.2911
P: 0.7500 0.6754 0.7946
Ca: 0.2500 0.7812 0.0672
Ca: 0.7500 0.2188 0.9328
Ca: 0.7500 0.2332 0.4306
P: 0.2500 0.3246 0.2054
Ca: 0.2500 0.7668 0.5694
Au: 0.2500 0.3207 0.7089

Entry 2:
Entry from Alexandria via LeMat-Bulk: CaP2Au after structural relaxation (PBE).

Summary:
The volume comes out at 20.3 A^3/atom. The total DFT energy (no corrections) is -4.1547 eV per atom. The value obtained for the formation energy is -0.1301 eV/atom. Its space group is No. 123.

Lattice parameters (Å, degrees): 3.7645 3.7645 5.7425 90.00 90.00 90.00
Element x y z (fractional)
P: 0.0000 0.0000 0.0605
Au: 0.5000 0.5000 0.2500
Ca: 0.5000 0.5000 0.7500
P: 0.0000 0.0000 0.4395

Entry 3:
Entry from Alexandria via LeMat-Bulk: Ca3P2Au4 after structural relaxation (PBE).

Summary:
The volume comes out at 21.9 A^3/atom. The total DFT energy (no corrections) is -4.1353 eV per atom. The value obtained for the formation energy is -0.8093 eV/atom. Its space group is No. 12.

Lattice parameters (Å, degrees): 4.3617 5.8914 8.7212 107.65 90.00 111.73
Element x y z (fractional)
Ca: 0.0000 0.0000 0.0000
Au: 0.7189 0.4378 0.0759
Ca: 0.6670 0.3340 0.6536
Au: 0.0505 0.1011 0.3723
Au: 0.2811 0.5622 0.9241
P: 0.3948 0.7895 0.7201
Ca: 0.3330 0.6660 0.3464
P: 0.6052 0.2105 0.2799
Au: 0.9495 0.8989 0.6277